1.
Material: ScPaH
Method: DFT, PBE-GGA
State: relaxed

Summary:
E above lowest polymorph ... 0.0000 eV per atom
Spin magnetization ... 0.0 μB per formula unit
SG ... No. 156

a b c (Å): 3.208 3.208 5.627
angles (deg): 90.00 90.00 120.00
Element x y z (fractional)
Sc: 0.667 0.333 0.424
H: 0.333 0.667 0.644
Pa: 0.000 0.000 0.932

2.
Material: CaScBeGa2
Method: DFT, PBE-GGA
State: relaxed

Summary:
Formation energy from the elements ... 1430 meV per atom
Spin magnetization ... 0.9 μB per formula unit
SG ... No. 123

a b c (Å): 5.319 5.310 5.319
angles (deg): 90.00 90.00 90.00
Last column: magnetic moment on the atom in μB.
Element x y z (fractional)
Ga: 0.000 0.000 0.500  0.01
Ga: 0.500 0.000 0.000  -0.01
Ca: 0.000 0.000 0.000  0.15
Sc: 0.000 0.500 0.000  0.57
Be: 0.500 0.500 0.500  0.00

3.
Material: BeAlCl2
Method: DFT, PBE-GGA
State: relaxed

Summary:
E above lowest polymorph ... 0.0973 eV per atom
Spin magnetization ... 0.0 μB per formula unit
SG ... No. 166
Raw formation energy ... -0.55 eV per atom

a b c (Å): 11.906 11.906 11.906
angles (deg): 15.21 15.21 15.21
Element x y z (fractional)
Be: 0.500 0.500 0.500
Cl: 0.870 0.870 0.870
Cl: 0.130 0.130 0.130
Al: 0.000 0.000 0.000

4.
Material: YSc2Si
Method: DFT, PBE-GGA
State: relaxed

Summary:
Spin magnetization ... 0.0 μB per formula unit
SG ... No. 166
Raw formation energy ... -0.14 eV per atom

a b c (Å): 9.756 9.756 9.756
angles (deg): 20.18 20.18 20.18
Element x y z (fractional)
Sc: 0.982 0.982 0.982
Sc: 0.518 0.518 0.518
Y: 0.750 0.750 0.750
Si: 0.250 0.250 0.250